Entry 1:
VASP calculation (PBE-GGA) on a relaxed SrTlO2 crystal.

CIF file:
```
data_SrTlO2
_chemical_formula_sum 'Sr3 Tl3 O6'
_cell_length_a 3.6060
_cell_length_b 3.6060
_cell_length_c 18.7577
_cell_angle_alpha 90.00
_cell_angle_beta 90.00
_cell_angle_gamma 120.00
_symmetry_space_group_name_H-M 'R 3 m'
_symmetry_Int_Tables_number 160
_symmetry_space_group_name_Hall 'R 3 -2"'
loop_
_atom_site_label
_atom_site_type_symbol
_atom_site_fract_x
_atom_site_fract_y
_atom_site_fract_z
Sr1 Sr 0.0000 0.0000 0.0000
Tl1 Tl 0.0000 0.0000 0.1710
O1 O 0.0000 0.0000 0.5881
O2 O 0.0000 0.0000 0.7484
```

Computed properties:
Total magnetization (μB/atom): 0.12
Energy above the most stable polymorph in this dataset (eV per atom): 0.198
Energy (eV per cell): -59.35
ΔE_f (raw) (eV per atom): -1.45
Mass density (g/cm3): 7.64
DOS(E_F) (states/eV/cell): 9.6

=====

Entry 2:
VASP calculation (PBE-GGA) on a relaxed Sr3Tl2O6 crystal.

CIF file:
```
data_Sr3Tl2O6
_chemical_formula_sum 'Sr6 Tl4 O12'
_cell_length_a 4.304
_cell_length_b 4.304
_cell_length_c 20.725
_cell_angle_alpha 90.00
_cell_angle_beta 90.00
_cell_angle_gamma 90.00
_symmetry_space_group_name_H-M 'I 4/m m m'
_symmetry_Int_Tables_number 139
_symmetry_space_group_name_Hall '-I 4 2'
loop_
_atom_site_label
_atom_site_type_symbol
_atom_site_fract_x
_atom_site_fract_y
_atom_site_fract_z
Sr1 Sr 0.000 0.000 0.000
Sr2 Sr 0.000 0.000 0.183
Tl1 Tl 0.000 0.000 0.400
O1 O 0.000 0.000 0.295
O2 O 0.000 0.500 0.079
```

Computed properties:
Total magnetization (μB/atom): 0.00
Energy above the most stable polymorph in this dataset (eV per atom): 0.122
Energy (eV per cell): -116.96
ΔE_f (raw) (eV per atom): -1.72
Mass density (g/cm3): 6.64
DOS(E_F) (states/eV/cell): 0.7

=====

Entry 3:
VASP calculation (PBE-GGA) on a relaxed SrTlO crystal.

CIF file:
```
data_SrTlO
_chemical_formula_sum 'Sr6 Tl6 O6'
_cell_length_a 4.7729
_cell_length_b 4.7729
_cell_length_c 23.0690
_cell_angle_alpha 90.00
_cell_angle_beta 90.00
_cell_angle_gamma 120.00
_symmetry_space_group_name_H-M 'R -3 m'
_symmetry_Int_Tables_number 166
_symmetry_space_group_name_Hall '-R 3 2"'
loop_
_atom_site_label
_atom_site_type_symbol
_atom_site_fract_x
_atom_site_fract_y
_atom_site_fract_z
Sr1 Sr 0.0000 0.0000 0.1117
Tl1 Tl 0.0000 0.0000 0.3196
O1 O 0.0000 0.0000 0.2140
```

Computed properties:
Total magnetization (μB/atom): 0.00
Energy (eV per cell): -79.84
ΔE_f (raw) (eV per atom): -1.43
Mass density (g/cm3): 6.74
DOS(E_F) (states/eV/cell): 2.8

=====

Entry 4:
VASP calculation (PBE-GGA) on a relaxed Sr4Tl2O crystal.

CIF file:
```
data_Sr4Tl2O
_chemical_formula_sum 'Sr16 Tl8 O4'
_cell_length_a 10.180
_cell_length_b 7.429
_cell_length_c 13.408
_cell_angle_alpha 90.00
_cell_angle_beta 90.00
_cell_angle_gamma 90.00
_symmetry_space_group_name_H-M 'P n m a'
_symmetry_Int_Tables_number 62
_symmetry_space_group_name_Hall '-P 2ac 2n'
loop_
_atom_site_label
_atom_site_type_symbol
_atom_site_fract_x
_atom_site_fract_y
_atom_site_fract_z
Sr1 Sr 0.003 0.250 0.095
Sr2 Sr 0.164 0.504 0.642
Sr3 Sr 0.213 0.750 0.397
Tl1 Tl 0.040 0.750 0.178
Tl2 Tl 0.148 0.250 0.365
O1 O 0.232 0.250 0.067
```

Computed properties:
Total magnetization (μB/atom): 0.00
Energy above the most stable polymorph in this dataset (eV per atom): 0.000
Energy (eV per cell): -92.70
ΔE_f (raw) (eV per atom): -0.97
Mass density (g/cm3): 5.08
DOS(E_F) (states/eV/cell): 22.4

=====

Entry 5:
VASP calculation (PBE-GGA) on a relaxed Sr2TlO crystal.

CIF file:
```
data_Sr2TlO
_chemical_formula_sum 'Sr2 Tl1 O1'
_cell_length_a 3.358
_cell_length_b 3.358
_cell_length_c 8.354
_cell_angle_alpha 90.00
_cell_angle_beta 90.00
_cell_angle_gamma 90.00
_symmetry_space_group_name_H-M 'P 4/m m m'
_symmetry_Int_Tables_number 123
_symmetry_space_group_name_Hall '-P 4 2'
loop_
_atom_site_label
_atom_site_type_symbol
_atom_site_fract_x
_atom_site_fract_y
_atom_site_fract_z
Sr1 Sr 0.000 0.000 0.185
Tl1 Tl 0.500 0.500 0.500
O1 O 0.500 0.500 0.000
```

Computed properties:
Total magnetization (μB/atom): 0.00
Energy above the most stable polymorph in this dataset (eV per atom): 0.244
Energy (eV per cell): -15.33
ΔE_f (raw) (eV per atom): -1.16
Mass density (g/cm3): 6.97
DOS(E_F) (states/eV/cell): 1.8

=====

Entry 6:
VASP calculation (PBE-GGA) on a relaxed Sr5TlO8 crystal.

CIF file:
```
data_Sr5TlO8
_chemical_formula_sum 'Sr10 Tl2 O16'
_cell_length_a 7.392
_cell_length_b 7.392
_cell_length_c 8.085
_cell_angle_alpha 90.00
_cell_angle_beta 90.00
_cell_angle_gamma 90.00
_symmetry_space_group_name_H-M 'I -4'
_symmetry_Int_Tables_number 82
_symmetry_space_group_name_Hall 'I -4'
loop_
_atom_site_label
_atom_site_type_symbol
_atom_site_fract_x
_atom_site_fract_y
_atom_site_fract_z
Sr1 Sr 0.000 0.000 0.000
Sr2 Sr 0.126 0.255 0.620
Tl1 Tl 0.000 0.500 0.250
O1 O 0.073 0.203 0.300
O2 O 0.095 0.318 0.929
```

Computed properties:
Total magnetization (μB/atom): 0.21
Energy (eV per cell): -154.71
ΔE_f (raw) (eV per atom): -1.92
Mass density (g/cm3): 5.79
DOS(E_F) (states/eV/cell): 10.0

=====

Entry 7:
VASP calculation (PBE-GGA) on a relaxed SrTl3O crystal.

CIF file:
```
data_SrTl3O
_chemical_formula_sum 'Sr1 Tl3 O1'
_cell_length_a 6.273
_cell_length_b 6.273
_cell_length_c 6.273
_cell_angle_alpha 90.00
_cell_angle_beta 90.00
_cell_angle_gamma 90.00
_symmetry_space_group_name_H-M 'P m -3 m'
_symmetry_Int_Tables_number 221
_symmetry_space_group_name_Hall '-P 4 2 3'
loop_
_atom_site_label
_atom_site_type_symbol
_atom_site_fract_x
_atom_site_fract_y
_atom_site_fract_z
Sr1 Sr 0.000 0.000 0.000
Tl1 Tl 0.000 0.000 0.500
O1 O 0.500 0.500 0.500
```

Computed properties:
Total magnetization (μB/atom): 0.00
Energy above the most stable polymorph in this dataset (eV per atom): 1.254
Energy (eV per cell): -8.96
ΔE_f (raw) (eV per atom): 0.96
Mass density (g/cm3): 4.82
DOS(E_F) (states/eV/cell): 5.3

=====

Entry 8:
VASP calculation (PBE-GGA) on a relaxed Sr2TlO4 crystal.

CIF file:
```
data_Sr2TlO4
_chemical_formula_sum 'Sr4 Tl2 O8'
_cell_length_a 4.291
_cell_length_b 4.291
_cell_length_c 12.759
_cell_angle_alpha 90.00
_cell_angle_beta 90.00
_cell_angle_gamma 90.00
_symmetry_space_group_name_H-M 'I 4/m m m'
_symmetry_Int_Tables_number 139
_symmetry_space_group_name_Hall '-I 4 2'
loop_
_atom_site_label
_atom_site_type_symbol
_atom_site_fract_x
_atom_site_fract_y
_atom_site_fract_z
Sr1 Sr 0.000 0.000 0.143
Tl1 Tl 0.000 0.000 0.500
O1 O 0.000 0.000 0.328
O2 O 0.000 0.500 0.000
```

Computed properties:
Total magnetization (μB/atom): 0.11
Energy above the most stable polymorph in this dataset (eV per atom): 0.000
Energy (eV per cell): -74.53
ΔE_f (raw) (eV per atom): -1.67
Mass density (g/cm3): 6.27
DOS(E_F) (states/eV/cell): 4.2

=====

Copy entry 3 word for word.
VASP calculation (PBE-GGA) on a relaxed SrTlO crystal.

CIF file:
```
data_SrTlO
_chemical_formula_sum 'Sr6 Tl6 O6'
_cell_length_a 4.7729
_cell_length_b 4.7729
_cell_length_c 23.0690
_cell_angle_alpha 90.00
_cell_angle_beta 90.00
_cell_angle_gamma 120.00
_symmetry_space_group_name_H-M 'R -3 m'
_symmetry_Int_Tables_number 166
_symmetry_space_group_name_Hall '-R 3 2"'
loop_
_atom_site_label
_atom_site_type_symbol
_atom_site_fract_x
_atom_site_fract_y
_atom_site_fract_z
Sr1 Sr 0.0000 0.0000 0.1117
Tl1 Tl 0.0000 0.0000 0.3196
O1 O 0.0000 0.0000 0.2140
```

Computed properties:
Total magnetization (μB/atom): 0.00
Energy (eV per cell): -79.84
ΔE_f (raw) (eV per atom): -1.43
Mass density (g/cm3): 6.74
DOS(E_F) (states/eV/cell): 2.8

=====

Which of these has the lowest ΔE_f (raw)? Sr5TlO8

=====

Repeat the fourth record exactly.
VASP calculation (PBE-GGA) on a relaxed Sr4Tl2O crystal.

CIF file:
```
data_Sr4Tl2O
_chemical_formula_sum 'Sr16 Tl8 O4'
_cell_length_a 10.180
_cell_length_b 7.429
_cell_length_c 13.408
_cell_angle_alpha 90.00
_cell_angle_beta 90.00
_cell_angle_gamma 90.00
_symmetry_space_group_name_H-M 'P n m a'
_symmetry_Int_Tables_number 62
_symmetry_space_group_name_Hall '-P 2ac 2n'
loop_
_atom_site_label
_atom_site_type_symbol
_atom_site_fract_x
_atom_site_fract_y
_atom_site_fract_z
Sr1 Sr 0.003 0.250 0.095
Sr2 Sr 0.164 0.504 0.642
Sr3 Sr 0.213 0.750 0.397
Tl1 Tl 0.040 0.750 0.178
Tl2 Tl 0.148 0.250 0.365
O1 O 0.232 0.250 0.067
```

Computed properties:
Total magnetization (μB/atom): 0.00
Energy above the most stable polymorph in this dataset (eV per atom): 0.000
Energy (eV per cell): -92.70
ΔE_f (raw) (eV per atom): -0.97
Mass density (g/cm3): 5.08
DOS(E_F) (states/eV/cell): 22.4

=====

Number 4 is which compound? Sr4Tl2O